Entry 1:
Y5Tm5Sb6 after structural relaxation, computed with PBE-GGA.

a b c (Å): 6.278 15.435 8.934
angles (deg): 90.00 90.00 90.00
Space group Amm2 (No. 38)
Inequivalent atoms, fractional coordinates:
1 Y 0.000 0.000 0.000 (multiplicity 2)
2 Y 0.000 0.123 0.373 (multiplicity 4)
3 Y 0.500 0.123 0.125 (multiplicity 4)
4 Tm 0.250 0.167 0.749 (multiplicity 8)
5 Tm 0.500 0.000 0.496 (multiplicity 2)
6 Sb 0.000 0.000 0.640 (multiplicity 2)
7 Sb 0.000 0.195 0.054 (multiplicity 4)
8 Sb 0.500 0.000 0.857 (multiplicity 2)
9 Sb 0.500 0.194 0.445 (multiplicity 4)

## Properties
ΔE_f (raw) in meV/atom: -919.0
Magnetization in μB/f.u.: 0.00
Density of states at the Fermi level in states/eV per cell: 30.95
Crystal system: orthorhombic


Entry 2:
YTm3Sb after structural relaxation, computed with PBE-GGA.

a b c (Å): 10.498 3.952 14.325
angles (deg): 90.00 90.00 90.00
Space group Pnma (No. 62)
Inequivalent atoms, fractional coordinates:
1 Y 0.164 0.250 0.029 (multiplicity 4)
2 Tm 0.085 0.250 0.425 (multiplicity 4)
3 Tm 0.115 0.750 0.235 (multiplicity 4)
4 Tm 0.133 0.750 0.817 (multiplicity 4)
5 Sb 0.130 0.250 0.638 (multiplicity 4)

## Properties
ΔE_f (raw) in meV/atom: -373.0
Magnetization in μB/f.u.: 0.44
Density of states at the Fermi level in states/eV per cell: 26.66
Crystal system: orthorhombic


Entry 3:
YTm4Sb2 after structural relaxation, computed with PBE-GGA.

a b c (Å): 5.220 5.220 16.268
angles (deg): 90.00 90.00 90.00
Space group I4/mmm (No. 139)
Inequivalent atoms, fractional coordinates:
1 Y 0.000 0.000 0.000 (multiplicity 2)
2 Tm 0.000 0.000 0.184 (multiplicity 4)
3 Tm 0.000 0.500 0.000 (multiplicity 4)
4 Sb 0.000 0.000 0.367 (multiplicity 4)

## Properties
ΔE_f (raw) in meV/atom: 349.5
Magnetization in μB/f.u.: 0.00
Density of states at the Fermi level in states/eV per cell: 11.12
Crystal system: tetragonal


Entry 4:
Y2Tm5Sb4 after structural relaxation, computed with PBE-GGA.

a b c (Å): 25.332 4.017 6.872
angles (deg): 90.00 91.66 90.00
Space group C2/m (No. 12)
Inequivalent atoms, fractional coordinates:
1 Y 0.236 0.000 0.273 (multiplicity 4)
2 Tm 0.000 0.500 0.500 (multiplicity 2)
3 Tm 0.091 0.000 0.203 (multiplicity 4)
4 Tm 0.143 0.000 0.692 (multiplicity 4)
5 Sb 0.031 0.000 0.805 (multiplicity 4)
6 Sb 0.170 0.500 0.017 (multiplicity 4)

## Properties
ΔE_f (raw) in meV/atom: -452.4
Magnetization in μB/f.u.: 0.00
Density of states at the Fermi level in states/eV per cell: 21.53
Crystal system: monoclinic